# TbPa2Te5 | the Alexandria database | PBE | optimized geometry
# formation energy without anion corrections	-0.93	eV per atom
# crystal system	tetragonal
# energy	-187.19	eV per cell
data_TbPa2Te5
_chemical_formula_sum 'Tb4 Pa8 Te20'
_symmetry_space_group_name_H-M 'I 4/m c m'
_symmetry_Int_Tables_number 140
_symmetry_space_group_name_Hall '-I 4 2c'
_cell_length_a 8.067
_cell_length_b 8.067
_cell_length_c 14.577
_cell_angle_alpha 90.00
_cell_angle_beta 90.00
_cell_angle_gamma 90.00
loop_
_atom_site_label
_atom_site_type_symbol
_atom_site_fract_x
_atom_site_fract_y
_atom_site_fract_z
Tb1 Tb 0.000 0.000 0.250
Pa1 Pa 0.139 0.361 0.000
Te1 Te 0.000 0.000 0.000
Te2 Te 0.164 0.336 0.351

# Cr2CoP | the Alexandria database | PBE | optimized geometry
# crystal system	trigonal
# energy	-94.01	eV per cell
# energy relative to the elements	106	meV/atom
data_Cr2CoP
_chemical_formula_sum 'Cr6 Co3 P3'
_symmetry_space_group_name_H-M 'R -3 m'
_symmetry_Int_Tables_number 166
_symmetry_space_group_name_Hall '-R 3 2"'
_cell_length_a 2.5917
_cell_length_b 2.5917
_cell_length_c 23.3856
_cell_angle_alpha 90.00
_cell_angle_beta 90.00
_cell_angle_gamma 120.00
loop_
_atom_site_label
_atom_site_type_symbol
_atom_site_fract_x
_atom_site_fract_y
_atom_site_fract_z
Cr1 Cr 0.0000 0.0000 0.2484
Co1 Co 0.0000 0.0000 0.0000
P1 P 0.0000 0.0000 0.5000